Entry 1:
Below is BeNbAs3 after structural relaxation, with properties calculated at the PBE level.

```
data_BeNbAs3
_chemical_formula_sum 'Be1 Nb1 As3'
_cell_length_a 4.9876
_cell_length_b 4.9876
_cell_length_c 4.9876
_cell_angle_alpha 90.00
_cell_angle_beta 90.00
_cell_angle_gamma 90.00
_space_group_name_H-M_alt 'P m -3 m'
_space_group_IT_number 221
_space_group_name_Hall '-P 4 2 3'
loop_
_atom_site_label
_atom_site_fract_x
_atom_site_fract_y
_atom_site_fract_z
Be1 0.0000 0.0000 0.0000
Nb1 0.5000 0.5000 0.5000
As1 0.0000 0.5000 0.5000
```

Summary:
- Excess energy over the best structure of this formula in the dataset: 136 meV/atom
- Electronic total energy: -23.85 eV for the cell shown
- Formation energy: 0.779 eV/atom

***

Entry 2:
Below is BeNbAs2 after structural relaxation, with properties calculated at the PBE level.

```
data_BeNbAs2
_chemical_formula_sum 'Be4 Nb4 As8'
_cell_length_a 5.6931
_cell_length_b 5.6931
_cell_length_c 10.4617
_cell_angle_alpha 90.00
_cell_angle_beta 90.00
_cell_angle_gamma 90.00
_space_group_name_H-M_alt 'I -4 2 d'
_space_group_IT_number 122
_space_group_name_Hall 'I -4 2bw'
loop_
_atom_site_label
_atom_site_fract_x
_atom_site_fract_y
_atom_site_fract_z
Be1 0.0000 0.0000 0.0000
Nb1 0.0000 0.0000 0.5000
As1 0.2122 0.2500 0.1250
```

Summary:
- Electronic total energy: -90.70 eV for the cell shown
- Formation energy: 0.105 eV/atom

***

Entry 3:
Below is Be3NbAs after structural relaxation, with properties calculated at the PBE level.

```
data_Be3NbAs
_chemical_formula_sum 'Be3 Nb1 As1'
_cell_length_a 4.4515
_cell_length_b 4.4515
_cell_length_c 4.4515
_cell_angle_alpha 90.00
_cell_angle_beta 90.00
_cell_angle_gamma 90.00
_space_group_name_H-M_alt 'P m -3 m'
_space_group_IT_number 221
_space_group_name_Hall '-P 4 2 3'
loop_
_atom_site_label
_atom_site_fract_x
_atom_site_fract_y
_atom_site_fract_z
Be1 0.0000 0.0000 0.5000
Nb1 0.0000 0.0000 0.0000
As1 0.5000 0.5000 0.5000
```

Summary:
- Excess energy over the best structure of this formula in the dataset: 546 meV/atom
- Electronic total energy: -18.22 eV for the cell shown
- Formation energy: 1.536 eV/atom

***

Entry 4:
Below is BeNbAs2Pt after structural relaxation, with properties calculated at the PBE level.

```
data_BeNbAs2Pt
_chemical_formula_sum 'Be1 Nb1 As2 Pt1'
_cell_length_a 4.5289
_cell_length_b 4.5289
_cell_length_c 4.0660
_cell_angle_alpha 90.00
_cell_angle_beta 90.00
_cell_angle_gamma 90.00
_space_group_name_H-M_alt 'P 4/m m m'
_space_group_IT_number 123
_space_group_name_Hall '-P 4 2'
loop_
_atom_site_label
_atom_site_fract_x
_atom_site_fract_y
_atom_site_fract_z
Be1 0.0000 0.0000 0.0000
Nb1 0.5000 0.5000 0.5000
As1 0.0000 0.5000 0.0000
Pt1 0.0000 0.0000 0.5000
```

Summary:
- Electronic total energy: -27.32 eV for the cell shown
- Formation energy: 0.363 eV/atom